# Tl4WF6

A relaxed structure of Tl4WF6 (PBE+U, Alexandria).

Lattice parameters (Å, degrees): 7.652 7.652 9.974 90.00 90.00 90.00
Fractional positions:
Tl 0.179 0.321 0.250
Tl 0.179 0.321 0.750
Tl 0.321 0.821 0.250
Tl 0.321 0.821 0.750
Tl 0.679 0.179 0.250
Tl 0.679 0.179 0.750
Tl 0.821 0.679 0.250
Tl 0.821 0.679 0.750
W 0.000 0.000 0.000
W 0.500 0.500 0.500
F 0.000 0.000 0.215
F 0.000 0.000 0.785
F 0.183 0.792 0.000
F 0.208 0.183 0.000
F 0.292 0.683 0.500
F 0.317 0.292 0.500
F 0.500 0.500 0.285
F 0.500 0.500 0.715
F 0.683 0.708 0.500
F 0.708 0.317 0.500
F 0.792 0.817 0.000
F 0.817 0.208 0.000

SG	P4/mnc (128)
total DFT energy (no corrections)	-96.3	eV/cell
total magnetization	0.273	μB per atom
calculated volume	584.02	Å³ per cell
theoretical density	6.343	g/cm³
crystal system	tetragonal